1.
# ZnCu2 | the Alexandria database | PBEsol | optimized geometry
data_ZnCu2
_chemical_formula_sum 'Zn2 Cu4'
_cell_length_a 6.743
_cell_length_b 6.743
_cell_length_c 4.214
_cell_angle_alpha 90.00
_cell_angle_beta 90.00
_cell_angle_gamma 157.99
_space_group_name_H-M_alt 'P 1'
_space_group_IT_number 1
_space_group_name_Hall 'P 1'
loop_
_atom_site_label
_atom_site_type_symbol
_atom_site_fract_x
_atom_site_fract_y
_atom_site_fract_z
Zn1 Zn 0.219 0.781 0.750
Zn2 Zn 0.781 0.219 0.250
Cu1 Cu 0.109 0.891 0.250
Cu2 Cu 0.446 0.554 0.250
Cu3 Cu 0.554 0.446 0.750
Cu4 Cu 0.891 0.109 0.750
# DFT formation energy in eV per atom: -0.04
# N(E_F) in states/eV per cell: 1.4
# Volume in Å³/cell: 71.8
# Energy in eV/atom: -3.4579



2.
# Zn2Cu | the Alexandria database | PBEsol | optimized geometry
data_Zn2Cu
_chemical_formula_sum 'Zn16 Cu8'
_cell_length_a 7.664
_cell_length_b 7.664
_cell_length_c 7.664
_cell_angle_alpha 60.00
_cell_angle_beta 60.00
_cell_angle_gamma 60.00
_space_group_name_H-M_alt 'P 1'
_space_group_IT_number 1
_space_group_name_Hall 'P 1'
loop_
_atom_site_label
_atom_site_type_symbol
_atom_site_fract_x
_atom_site_fract_y
_atom_site_fract_z
Zn1 Zn 0.000 0.000 0.000
Zn2 Zn 0.000 0.000 0.500
Zn3 Zn 0.000 0.500 0.000
Zn4 Zn 0.187 0.187 0.563
Zn5 Zn 0.187 0.563 0.187
Zn6 Zn 0.187 0.563 0.563
Zn7 Zn 0.437 0.437 0.813
Zn8 Zn 0.437 0.813 0.437
Zn9 Zn 0.437 0.813 0.813
Zn10 Zn 0.500 0.000 0.000
Zn11 Zn 0.563 0.187 0.187
Zn12 Zn 0.563 0.187 0.563
Zn13 Zn 0.563 0.563 0.187
Zn14 Zn 0.813 0.437 0.437
Zn15 Zn 0.813 0.437 0.813
Zn16 Zn 0.813 0.813 0.437
Cu1 Cu 0.144 0.785 0.785
Cu2 Cu 0.215 0.215 0.215
Cu3 Cu 0.215 0.215 0.856
Cu4 Cu 0.215 0.856 0.215
Cu5 Cu 0.785 0.144 0.785
Cu6 Cu 0.785 0.785 0.144
Cu7 Cu 0.785 0.785 0.785
Cu8 Cu 0.856 0.215 0.215
# DFT formation energy in eV per atom: -0.04
# N(E_F) in states/eV per cell: 5.6
# Volume in Å³/cell: 318.3
# Energy in eV/atom: -2.5372